No. 1
The following is a PBE calculation of a geometry-optimized NdZr2In structure, from Alexandria via LeMat-Bulk.

a b c (Å): 4.6565 4.6565 4.5810
angles (deg): 90.00 90.00 90.00
Fractional coordinates of all 4 atoms:
Nd 0.0000 0.0000 0.0000
Zr 0.0000 0.5000 0.5000
Zr 0.5000 0.0000 0.5000
In 0.5000 0.5000 0.0000

ΔE to the lowest computed polymorph: 0.000 eV per atom

=====

No. 2
The following is a PBE calculation of a geometry-optimized NdZrIn2 structure, from Alexandria via LeMat-Bulk.

a b c (Å): 4.7722 4.7722 4.4619
angles (deg): 90.00 90.00 90.00
Fractional coordinates of all 4 atoms:
Nd 0.0000 0.0000 0.0000
Zr 0.5000 0.5000 0.0000
In 0.0000 0.5000 0.5000
In 0.5000 0.0000 0.5000

=====

No. 3
The following is a PBE calculation of a geometry-optimized NdZr2In structure, from Alexandria via LeMat-Bulk.

a b c (Å): 3.2222 3.2222 9.6567
angles (deg): 90.00 90.00 90.00
Fractional coordinates of all 4 atoms:
Nd 0.0000 0.0000 0.0000
Zr 0.5000 0.5000 0.2764
Zr 0.5000 0.5000 0.7236
In 0.0000 0.0000 0.5000

ΔE to the lowest computed polymorph: 0.108 eV per atom

=====

No. 4
The following is a PBE calculation of a geometry-optimized NdZrIn structure, from Alexandria via LeMat-Bulk.

a b c (Å): 7.5842 7.5842 7.5842
angles (deg): 154.74 154.74 36.03
Fractional coordinates of all 3 atoms:
Nd 0.0000 0.0000 0.0000
Zr 0.3176 0.3176 0.0000
In 0.6716 0.6716 0.0000

ΔE to the lowest computed polymorph: 0.000 eV per atom

=====

No. 5
The following is a PBE calculation of a geometry-optimized InNi3 structure, from Alexandria via LeMat-Bulk.

a b c (Å): 5.3546 5.3546 4.2254
angles (deg): 90.00 90.00 120.00
Fractional coordinates of all 8 atoms:
In 0.3333 0.6667 0.2500
In 0.6667 0.3333 0.7500
Ni 0.1565 0.3130 0.7500
Ni 0.1565 0.8435 0.7500
Ni 0.3130 0.1565 0.2500
Ni 0.6870 0.8435 0.7500
Ni 0.8435 0.1565 0.2500
Ni 0.8435 0.6870 0.2500

=====

No. 6
The following is a PBE calculation of a geometry-optimized InNi4 structure, from Alexandria via LeMat-Bulk.

a b c (Å): 4.6107 4.6107 4.6107
angles (deg): 90.00 90.00 90.00
Fractional coordinates of all 5 atoms:
In 0.0000 0.0000 0.0000
Ni 0.0000 0.0000 0.5000
Ni 0.0000 0.5000 0.0000
Ni 0.5000 0.0000 0.0000
Ni 0.5000 0.5000 0.5000

=====

| no. | calculated total energy (Ry per atom) |
| --- | --- |
| 1 | -0.4617 |
| 2 | -0.3663 |
| 3 | -0.4538 |
| 4 | -0.4039 |
| 5 | -0.3739 |
| 6 | -0.2668 |